Sn2AuO4 | PBE | optimized geometry

Cell lengths 6.6573, 6.6573, 6.6573 Å; angles 60.00, 60.00, 60.00 degrees
With the nearest neighbours (Å) after each atom.
Sites, in units of the cell vectors:
Sn (0.0000, 0.0000, 0.0000)  6 O 2.18
Sn (0.0000, 0.0000, 0.5000)  6 O 2.18
Sn (0.0000, 0.5000, 0.0000)  6 O 2.18
Sn (0.5000, 0.0000, 0.0000)  6 O 2.18
Au (0.3750, 0.3750, 0.3750)  4 O 2.37
Au (0.6250, 0.6250, 0.6250)  4 O 2.37
O (0.1882, 0.7706, 0.7706)  3 Sn 2.18, 1 Au 2.37
O (0.2294, 0.2294, 0.2294)  3 Sn 2.18, 1 Au 2.37
O (0.2294, 0.2294, 0.8118)  3 Sn 2.18, 1 Au 2.37
O (0.2294, 0.8118, 0.2294)  3 Sn 2.18, 1 Au 2.37
O (0.7706, 0.1882, 0.7706)  3 Sn 2.18, 1 Au 2.37
O (0.7706, 0.7706, 0.1882)  3 Sn 2.18, 1 Au 2.37
O (0.7706, 0.7706, 0.7706)  3 Sn 2.18, 1 Au 2.37
O (0.8118, 0.2294, 0.2294)  3 Sn 2.18, 1 Au 2.37

VASP energy   -37.8 eV/f.u.
Theoretical density   7.93 g/cm³